# 1
A relaxed BaZrGeMo2 crystal, computed with GGA-PBE.

## Properties
The formation energy comes out at 2581 meV per atom. The calculation puts the total energy at -4.769 eV per atom. As for the space group: P4/mmm. The value obtained for the spin magnetization is 0.6 μB/f.u.

Cell: 4.9667 5.3210 4.9667 Å, 90.00 90.00 90.00°
Last column: nearest neighbours and their distance in Å.
Positions (direct):
Zr (0.0000, 0.5000, 0.0000)  2 Ba 2.66
Mo (0.0000, 0.0000, 0.5000)  2 Ba 2.48
Mo (0.5000, 0.0000, 0.0000)  2 Ba 2.48
Ge (0.5000, 0.5000, 0.5000)  4 Zr 3.51, 8 Mo 3.64
Ba (0.0000, 0.0000, 0.0000)  4 Mo 2.48, 2 Zr 2.66

***

# 2
A relaxed Ba3GeN crystal, computed with GGA-PBE.

## Properties
The calculation puts the total energy at -4.155 eV per atom. The uncorrected formation energy comes out at -413 meV per atom. As for the space group: P-1. The value obtained for the spin magnetization is 0.0 μB/f.u.

Cell: 7.3344 7.3667 7.7674 Å, 98.48 81.78 61.17°
Last column: nearest neighbours and their distance in Å.
Positions (direct):
Ge (0.5764, 0.7333, 0.1668)  1 Ge 2.59
Ge (0.8503, 0.4628, 0.3122)  1 Ge 2.59
Ba (0.7667, 0.9411, 0.5158)  2 N 2.75-2.85
Ba (0.3715, 0.5459, 0.5175)  2 N 2.75-2.86
Ba (0.0549, 0.6507, 0.9616)  2 N 2.75-2.86
Ba (0.1604, 0.1509, 0.5247)  2 N 2.79-2.80
Ba (0.6595, 0.2554, 0.9633)  2 N 2.75-2.85
Ba (0.2660, 0.0456, 0.9545)  2 N 2.79-2.80
N (0.0450, 0.9309, 0.7400)  6 Ba 2.75-2.86
N (0.3812, 0.2658, 0.7391)  6 Ba 2.75-2.86

***

# 3
A relaxed BaGeN2 crystal, computed with GGA-PBE.

## Properties
The calculation puts the total energy at -5.030 eV per atom. The uncorrected formation energy comes out at 768 meV per atom. As for the space group: R-3m. The value obtained for the spin magnetization is 0.5 μB/f.u.

Cell: 7.2552 7.2552 7.2552 Å, 26.06 26.06 26.06°
Last column: nearest neighbours and their distance in Å.
Positions (direct):
Ge (0.5000, 0.5000, 0.5000)  6 N 2.12
N (0.1207, 0.1207, 0.1207)  3 Ge 2.12
N (0.8793, 0.8793, 0.8793)  3 Ge 2.12
Ba (0.0000, 0.0000, 0.0000)  2 N 2.54

***

# 4
A relaxed Ba8GeN2 crystal, computed with GGA-PBE.

## Properties
The calculation puts the total energy at -3.622 eV per atom. The uncorrected formation energy comes out at -290 meV per atom. As for the space group: C2/m. The value obtained for the spin magnetization is 0.0 μB/f.u.

Cell: 7.3720 9.6850 9.6850 Å, 60.76 86.10 86.10°
Last column: nearest neighbours and their distance in Å.
Positions (direct):
Ba (0.7233, 0.1684, 0.1684)  1 N 2.57
Ba (0.2521, 0.8972, 0.3063)  1 N 2.55
Ba (0.7458, 0.6834, 0.6834)  1 N 2.46
Ba (0.2521, 0.3063, 0.8972)  1 N 2.55
Ba (0.2542, 0.3166, 0.3166)  1 N 2.46
Ba (0.7479, 0.6937, 0.1028)  1 N 2.55
Ba (0.2767, 0.8316, 0.8316)  1 N 2.57
Ba (0.7479, 0.1028, 0.6937)  1 N 2.55
Ge (0.0000, 0.0000, 0.0000)  6 Ba 3.30-3.34
N (0.3740, 0.1752, 0.1752)  4 Ba 2.46-2.57
N (0.6260, 0.8248, 0.8248)  4 Ba 2.46-2.57

***

# 5
A relaxed BaGe2N2 crystal, computed with GGA-PBE.

## Properties
The calculation puts the total energy at -4.862 eV per atom. The uncorrected formation energy comes out at 700 meV per atom. As for the space group: P4/mbm. For the energy above the most stable polymorph in this dataset, the calculation gives 1.58 eV per formula unit. The value obtained for the spin magnetization is 0.3 μB/f.u.

Cell: 7.3866 7.3866 3.1868 Å, 90.00 90.00 90.00°
Last column: nearest neighbours and their distance in Å.
Positions (direct):
Ge (0.6155, 0.8845, 0.5000)  4 N 2.35, 1 Ge 2.41
Ge (0.8845, 0.3845, 0.5000)  4 N 2.35, 1 Ge 2.41
Ge (0.3845, 0.1155, 0.5000)  4 N 2.35, 1 Ge 2.41
Ge (0.1155, 0.6155, 0.5000)  4 N 2.35, 1 Ge 2.41
N (0.3818, 0.8818, 0.0000)  4 Ge 2.35, 1 N 2.47
N (0.1182, 0.3818, 0.0000)  4 Ge 2.35, 1 N 2.47
N (0.6182, 0.1182, 0.0000)  4 Ge 2.35, 1 N 2.47
N (0.8818, 0.6182, 0.0000)  4 Ge 2.35, 1 N 2.47
Ba (0.0000, 0.0000, 0.0000)  4 N 2.95, 2 Ba 3.19
Ba (0.5000, 0.5000, 0.0000)  4 N 2.95, 2 Ba 3.19

***

# 6
A relaxed BaGe2N2 crystal, computed with GGA-PBE.

## Properties
The calculation puts the total energy at -5.177 eV per atom. The uncorrected formation energy comes out at 385 meV per atom. As for the space group: I4/mmm. For the energy above the most stable polymorph in this dataset, the calculation gives 0.00 eV per formula unit. The value obtained for the spin magnetization is 0.0 μB/f.u.

Cell: 4.2484 4.2484 6.0778 Å, 69.54 69.54 90.00°
Last column: nearest neighbours and their distance in Å.
Positions (direct):
Ba (0.0000, 0.0000, 0.0000)  2 N 3.13, 8 Ge 3.39
Ge (0.7500, 0.2500, 0.5000)  4 N 2.18
Ge (0.2500, 0.7500, 0.5000)  4 N 2.18
N (0.2961, 0.2961, 0.4078)  4 Ge 2.18
N (0.7039, 0.7039, 0.5922)  4 Ge 2.18